Record 1
Crystalline AgHgPdRh at its relaxed geometry. Source: Alexandria, functional PBE.

CIF file:
```
data_AgHgPdRh
_symmetry_space_group_name_H-M 'F -4 3 m'
_symmetry_Int_Tables_number 216
_symmetry_space_group_name_Hall 'F -4 2 3'
_cell_length_a 6.4862
_cell_length_b 6.4862
_cell_length_c 6.4862
_cell_angle_alpha 90.00
_cell_angle_beta 90.00
_cell_angle_gamma 90.00
loop_
_atom_site_label
_atom_site_type_symbol
_atom_site_fract_x
_atom_site_fract_y
_atom_site_fract_z
_atom_site_occupancy
Ag1 Ag 0.0000 0.0000 0.0000 1
Hg1 Hg 0.0000 0.0000 0.5000 1
Pd1 Pd 0.2500 0.2500 0.7500 1
Rh1 Rh 0.2500 0.2500 0.2500 1
```

Results
ΔH_f (0 K)   42 kJ/mol of formula units
Total magnetic moment   0.3 μB/f.u.

Record 2
Crystalline K3AgAu2Br6 at its relaxed geometry. Source: Alexandria, functional PBE.

CIF file:
```
data_K3AgAu2Br6
_symmetry_space_group_name_H-M 'P -3 m 1'
_symmetry_Int_Tables_number 164
_symmetry_space_group_name_Hall '-P 3 2"'
_cell_length_a 8.2446
_cell_length_b 8.2446
_cell_length_c 8.5388
_cell_angle_alpha 90.00
_cell_angle_beta 90.00
_cell_angle_gamma 120.00
loop_
_atom_site_label
_atom_site_type_symbol
_atom_site_fract_x
_atom_site_fract_y
_atom_site_fract_z
_atom_site_occupancy
K1 K 0.0000 0.0000 0.0000 1
K2 K 0.3333 0.6667 0.6584 1
Ag1 Ag 0.0000 0.0000 0.5000 1
Au1 Au 0.3333 0.6667 0.2697 1
Br1 Br 0.1537 0.3075 0.2836 1
```

Results
E_form (uncorrected)   -0.809 eV/atom
Total magnetic moment   0.0 μB/f.u.

Record 3
Crystalline Mg2CdPd9 at its relaxed geometry. Source: Alexandria, functional PBE.

CIF file:
```
data_Mg2CdPd9
_symmetry_space_group_name_H-M 'P 4/m m m'
_symmetry_Int_Tables_number 123
_symmetry_space_group_name_Hall '-P 4 2'
_cell_length_a 3.9843
_cell_length_b 3.9843
_cell_length_c 12.0036
_cell_angle_alpha 90.00
_cell_angle_beta 90.00
_cell_angle_gamma 90.00
loop_
_atom_site_label
_atom_site_type_symbol
_atom_site_fract_x
_atom_site_fract_y
_atom_site_fract_z
_atom_site_occupancy
Mg1 Mg 0.0000 0.0000 0.1647 1
Cd1 Cd 0.0000 0.0000 0.5000 1
Pd1 Pd 0.0000 0.5000 0.0000 1
Pd2 Pd 0.0000 0.5000 0.3281 1
Pd3 Pd 0.5000 0.5000 0.1634 1
Pd4 Pd 0.5000 0.5000 0.5000 1
```

Results
ΔH_f (0 K)   -448 kJ/mol of formula units
Total magnetic moment   0.0 μB/f.u.

Record 4
Crystalline Ga2FeH2 at its relaxed geometry. Source: Alexandria, functional PBE.

CIF file:
```
data_Ga2FeH2
_symmetry_space_group_name_H-M 'I 4/m m m'
_symmetry_Int_Tables_number 139
_symmetry_space_group_name_Hall '-I 4 2'
_cell_length_a 2.7488
_cell_length_b 2.7488
_cell_length_c 12.7619
_cell_angle_alpha 90.00
_cell_angle_beta 90.00
_cell_angle_gamma 90.00
loop_
_atom_site_label
_atom_site_type_symbol
_atom_site_fract_x
_atom_site_fract_y
_atom_site_fract_z
_atom_site_occupancy
Ga1 Ga 0.0000 0.0000 0.1294 1
Fe1 Fe 0.0000 0.0000 0.5000 1
H1 H 0.0000 0.5000 0.2500 1
```

Results
ΔE to the lowest computed polymorph   0.228 eV/atom
Total magnetic moment   1.2 μB/f.u.

Record 5
Crystalline HfAlGa2 at its relaxed geometry. Source: Alexandria, functional PBE.

CIF file:
```
data_HfAlGa2
_symmetry_space_group_name_H-M 'R 3 m'
_symmetry_Int_Tables_number 160
_symmetry_space_group_name_Hall 'R 3 -2"'
_cell_length_a 4.0082
_cell_length_b 4.0082
_cell_length_c 16.9245
_cell_angle_alpha 90.00
_cell_angle_beta 90.00
_cell_angle_gamma 120.00
loop_
_atom_site_label
_atom_site_type_symbol
_atom_site_fract_x
_atom_site_fract_y
_atom_site_fract_z
_atom_site_occupancy
Hf1 Hf 0.0000 0.0000 0.0000 1
Al1 Al 0.0000 0.0000 0.8197 1
Ga1 Ga 0.0000 0.0000 0.4182 1
Ga2 Ga 0.0000 0.0000 0.5728 1
```

Results
ΔH_f (0 K)   -42 kJ/mol of formula units
Total magnetic moment   0.0 μB/f.u.

Record 6
Crystalline ZnNi2Au2 at its relaxed geometry. Source: Alexandria, functional PBE.

CIF file:
```
data_ZnNi2Au2
_symmetry_space_group_name_H-M 'P 4/m b m'
_symmetry_Int_Tables_number 127
_symmetry_space_group_name_Hall '-P 4 2ab'
_cell_length_a 6.2491
_cell_length_b 6.2491
_cell_length_c 3.8447
_cell_angle_alpha 90.00
_cell_angle_beta 90.00
_cell_angle_gamma 90.00
loop_
_atom_site_label
_atom_site_type_symbol
_atom_site_fract_x
_atom_site_fract_y
_atom_site_fract_z
_atom_site_occupancy
Zn1 Zn 0.0000 0.0000 0.0000 1
Ni1 Ni 0.1327 0.3673 0.0000 1
Au1 Au 0.1686 0.6686 0.5000 1
```

Results
ΔH_f (0 K)   16 kJ/mol of formula units
ΔE to the lowest computed polymorph   0.000 eV/atom
Total magnetic moment   0.2 μB/f.u.

Record 7
Crystalline KAcHg2 at its relaxed geometry. Source: Alexandria, functional PBE.

CIF file:
```
data_KAcHg2
_symmetry_space_group_name_H-M 'P 4/m m m'
_symmetry_Int_Tables_number 123
_symmetry_space_group_name_Hall '-P 4 2'
_cell_length_a 5.8473
_cell_length_b 5.8473
_cell_length_c 3.9065
_cell_angle_alpha 90.00
_cell_angle_beta 90.00
_cell_angle_gamma 90.00
loop_
_atom_site_label
_atom_site_type_symbol
_atom_site_fract_x
_atom_site_fract_y
_atom_site_fract_z
_atom_site_occupancy
K1 K 0.0000 0.0000 0.0000 1
Ac1 Ac 0.5000 0.5000 0.0000 1
Hg1 Hg 0.0000 0.5000 0.5000 1
```

Results
ΔH_f (0 K)   -126 kJ/mol of formula units
Total magnetic moment   0.0 μB/f.u.

Record 8
Crystalline Sm3Ho at its relaxed geometry. Source: Alexandria, functional PBE.

CIF file:
```
data_Sm3Ho
_symmetry_space_group_name_H-M 'F m -3 m'
_symmetry_Int_Tables_number 225
_symmetry_space_group_name_Hall '-F 4 2 3'
_cell_length_a 8.1109
_cell_length_b 8.1109
_cell_length_c 8.1109
_cell_angle_alpha 90.00
_cell_angle_beta 90.00
_cell_angle_gamma 90.00
loop_
_atom_site_label
_atom_site_type_symbol
_atom_site_fract_x
_atom_site_fract_y
_atom_site_fract_z
_atom_site_occupancy
Sm1 Sm 0.0000 0.0000 0.0000 1
Sm2 Sm 0.2500 0.2500 0.2500 1
Ho1 Ho 0.0000 0.0000 0.5000 1
```

Results
ΔH_f (0 K)   55 kJ/mol of formula units
ΔE to the lowest computed polymorph   0.127 eV/atom
Total magnetic moment   0.0 μB/f.u.